The following is a PBE calculation of an optimized crystal structure of NaErGeO4, from the Alexandria database.

The space group is Imma (No. 74) and the conventional cell measures 6.005, 6.739 and 8.803 Å, with angles of 90.00, 90.00 and 90.00 degrees. The asymmetric unit holds Na at (0.250, 0.250, 0.250), Er at (0.000, 0.000, 0.000), Ge at (0.000, 0.250, 0.634), O at (0.000, 0.030, 0.746) and O at (0.246, 0.250, 0.510).

The offset from the most stable computed form is 1.06 eV per formula unit.



The following is a PBE calculation of an optimized crystal structure of NaErGe2O6, from the Alexandria database.

The space group is C2/c (No. 15) and the conventional cell measures 10.585, 9.625 and 5.734 Å, with angles of 90.00, 107.40 and 90.00 degrees. The asymmetric unit holds Na at (0.000, 0.191, 0.250), Er at (0.000, 0.393, 0.750), Ge at (0.210, 0.088, 0.747), O at (0.115, 0.421, 0.147), O at (0.138, 0.250, 0.672) and O at (0.142, 0.013, 0.972).



The following is a PBE calculation of an optimized crystal structure of NaErGeS4, from the Alexandria database.

The space group is Imma (No. 74) and the conventional cell measures 7.383, 8.006 and 10.790 Å, with angles of 90.00, 90.00 and 90.00 degrees. The asymmetric unit holds Na at (0.250, 0.250, 0.250), Er at (0.000, 0.000, 0.000), Ge at (0.000, 0.250, 0.641), S at (0.000, 0.014, 0.749) and S at (0.247, 0.250, 0.506).



Short version: formation energy without anion corrections = -2.340 -2.248 -1.045 eV/atom, in the order given.